The following is a PBE-GGA calculation of a relaxed structure of PuMgInPb, from Alexandria via LeMat-Bulk.

Lattice parameters (Å, degrees): 5.3048 5.3048 5.3048 60.00 60.00 60.00
With the nearest neighbours (Å) after each atom.
Element x y z (fractional)
Pb 0.0000 0.0000 0.0000  4 Pu 3.25, 4 Mg 3.25
Mg 0.7500 0.7500 0.7500  4 In 3.25, 4 Pb 3.25
In 0.5000 0.5000 0.5000  4 Mg 3.25, 4 Pu 3.25
Pu 0.2500 0.2500 0.2500  4 In 3.25, 4 Pb 3.25

Computed properties:
Magnetic moment: 1.43 μB per atom
Calculated formation energy: -0.10 eV per atom
DFT total energy: -5.69 eV/atom